LaMgSc2 after structural relaxation. Source: the Alexandria database, functional PBEsol.

Geometry as POSCAR:
```
LaMgSc2
1.0
-1.5632 1.9460 2.2172
-2.2845 0.7891 -2.3033
-5.2554 -7.3078 2.7087
Sc Mg La
2 1 1
direct
0.0000 0.0000 0.9988
0.5000 0.5000 0.2270
0.5000 0.5000 0.7724
0.0000 0.0000 0.5018
```

Output
* space-group type: No. 99
* E_form: 18 meV/atom